No. 1
RbScBi2C | PBE-GGA | relaxed

Cell: 6.131 5.492 6.131 Å, 90.00 90.00 90.00°
Each line ends with the local moment (μB).
Sites, in units of the cell vectors:
Bi 0.000 0.000 0.500  -0.32
Bi 0.500 0.000 0.000  -0.24
C 0.500 0.500 0.500  0.91
Sc 0.000 0.500 0.000  0.82
Rb 0.000 0.000 0.000  0.04

Summary:
* calculated formation energy: 13.172 eV per formula unit
* DOS(E_F): 0.961 states/eV/atom

***

No. 2
CaDy2PuO6 | PBE-GGA | relaxed

Cell: 5.854 5.854 6.111 Å, 61.38 61.38 60.00°
Each line ends with the local moment (μB).
Sites, in units of the cell vectors:
Dy 0.021 0.021 0.936  0.01
Dy 0.527 0.527 0.419  0.01
O 0.702 0.139 0.760  -0.04
O 0.139 0.399 0.760  -0.04
O 0.399 0.702 0.760  -0.04
O 0.218 0.921 0.245  -0.04
O 0.616 0.218 0.245  -0.04
O 0.921 0.616 0.245  -0.04
Pu 0.314 0.314 0.058  4.18
Ca 0.805 0.805 0.585  0.00

Summary:
* formation energy (no corrections): -3.25 eV per atom
* DOS(E_F): 0.022 states/eV/atom

***

No. 3
Pr3Y5Er4 | PBE-GGA | relaxed

Cell: 5.944 8.591 9.686 Å, 106.04 72.13 69.76°
Each line ends with the local moment (μB).
Sites, in units of the cell vectors:
Y 0.217 0.455 0.111  0.00
Y 0.376 0.050 0.199  0.00
Y 0.783 0.545 0.889  0.00
Y 0.624 0.950 0.801  0.00
Y 0.500 0.500 0.500  0.06
Pr 0.520 0.688 0.272  0.00
Pr 0.000 0.500 0.500  0.06
Pr 0.480 0.312 0.728  0.00
Er 0.834 0.957 0.375  0.00
Er 0.860 0.221 0.059  0.00
Er 0.166 0.043 0.625  0.00
Er 0.140 0.779 0.941  0.00

Summary:
* calculated formation energy: 2.885 eV per formula unit
* distance to the lowest polymorph of the same formula: 219 meV per atom
* DOS(E_F): 1.627 states/eV/atom

***

> Which value of DOS(E_F) does entry 2 give?

0.022 states/eV/atom